(1)
Entry from the Alexandria database: a relaxed structure of MgMn2O4 (PBE with a Hubbard U).

Properties
- energy above the most stable polymorph in this dataset (meV/atom) = 59
- total moment (Bohr magnetons per cell) = 32.0
- space-group type = Pbcm, No. 57
- volume (A^3/atom) = 10.2
- E (hartree per atom) = -0.2597

Cell and atoms, written as POSCAR:
```
MgMn2O4
1.0
3.009 0.000 0.000
0.000 9.908 0.000
0.000 0.000 9.625
Mg Mn O
4 8 16
direct
0.182 0.146 0.250
0.182 0.354 0.750
0.818 0.646 0.250
0.818 0.854 0.750
0.291 0.615 0.571
0.291 0.615 0.929
0.291 0.885 0.071
0.291 0.885 0.429
0.709 0.115 0.571
0.709 0.115 0.929
0.709 0.385 0.071
0.709 0.385 0.429
0.134 0.250 0.000
0.134 0.250 0.500
0.292 0.531 0.115
0.292 0.531 0.385
0.292 0.969 0.615
0.292 0.969 0.885
0.314 0.708 0.750
0.314 0.792 0.250
0.686 0.208 0.750
0.686 0.292 0.250
0.708 0.031 0.115
0.708 0.031 0.385
0.708 0.469 0.615
0.708 0.469 0.885
0.866 0.750 0.000
0.866 0.750 0.500
```



(2)
Entry from the Alexandria database: a relaxed structure of Mg8Mn3O11 (PBE with a Hubbard U).

Properties
- N(E_F) (states/eV per cell) = 0.0
- total moment (Bohr magnetons per cell) = 6.0
- space-group type = P1, No. 1
- volume (A^3/atom) = 9.8
- E (hartree per atom) = -0.2284

Cell and atoms, written as POSCAR:
```
Mg8Mn3O11
1.0
3.030 0.000 0.000
-0.020 5.238 0.000
-1.402 -0.945 27.271
Mg Mn O
16 6 22
direct
0.000 0.000 0.000
0.040 0.682 0.090
0.119 0.046 0.272
0.166 0.728 0.362
0.253 0.094 0.543
0.295 0.776 0.633
0.335 0.458 0.723
0.378 0.143 0.813
0.496 0.499 0.000
0.540 0.183 0.090
0.620 0.546 0.272
0.666 0.228 0.362
0.753 0.593 0.543
0.795 0.276 0.633
0.836 0.959 0.723
0.875 0.642 0.813
0.079 0.364 0.181
0.210 0.411 0.452
0.437 0.821 0.907
0.579 0.864 0.181
0.710 0.911 0.452
0.937 0.321 0.907
0.020 0.340 0.045
0.060 0.023 0.134
0.099 0.705 0.227
0.142 0.387 0.316
0.187 0.070 0.405
0.232 0.752 0.499
0.274 0.435 0.588
0.315 0.117 0.678
0.357 0.800 0.768
0.385 0.480 0.857
0.490 0.161 0.956
0.518 0.841 0.045
0.561 0.523 0.133
0.598 0.206 0.228
0.642 0.887 0.316
0.687 0.569 0.405
0.732 0.253 0.500
0.774 0.935 0.588
0.815 0.617 0.678
0.855 0.300 0.768
0.905 0.987 0.857
0.970 0.654 0.956
```



(3)
Entry from the Alexandria database: a relaxed structure of Mg2Mn3O7 (PBE with a Hubbard U).

Properties
- energy above the most stable polymorph in this dataset (meV/atom) = 0
- total moment (Bohr magnetons per cell) = 22.0
- space-group type = P-1, No. 2
- volume (A^3/atom) = 11.2
- E (hartree per atom) = -0.2545

Cell and atoms, written as POSCAR:
```
Mg2Mn3O7
1.0
6.086 0.000 0.000
-1.577 6.461 0.000
-1.239 -3.714 6.812
Mg Mn O
4 6 14
direct
0.156 0.159 0.437
0.325 0.194 0.036
0.675 0.806 0.964
0.844 0.841 0.563
0.069 0.582 0.722
0.221 0.717 0.142
0.359 0.862 0.578
0.641 0.138 0.422
0.779 0.283 0.858
0.931 0.418 0.278
0.084 0.803 0.376
0.110 0.384 0.089
0.172 0.931 0.757
0.222 0.520 0.507
0.341 0.642 0.922
0.344 0.064 0.231
0.464 0.183 0.617
0.536 0.817 0.383
0.656 0.936 0.769
0.659 0.358 0.078
0.778 0.480 0.493
0.828 0.069 0.243
0.890 0.616 0.911
0.916 0.197 0.624
```



(4)
Entry from the Alexandria database: a relaxed structure of MgMnO3 (PBE with a Hubbard U).

Properties
- N(E_F) (states/eV per cell) = 0.0
- total moment (Bohr magnetons per cell) = 6.0
- space-group type = R-3, No. 148
- volume (A^3/atom) = 10.1
- E (hartree per atom) = -0.2475

Cell and atoms, written as POSCAR:
```
MgMnO3
1.0
2.513 1.451 4.628
-2.513 1.451 4.628
0.000 -2.902 4.628
Mg Mn O
2 2 6
direct
0.140 0.140 0.140
0.860 0.860 0.860
0.342 0.342 0.342
0.658 0.658 0.658
0.059 0.454 0.722
0.278 0.941 0.546
0.454 0.722 0.059
0.546 0.278 0.941
0.722 0.059 0.454
0.941 0.546 0.278
```



(5)
Entry from the Alexandria database: a relaxed structure of MgMn2O3 (PBE with a Hubbard U).

Properties
- total moment (Bohr magnetons per cell) = 20.0
- space-group type = C2/m, No. 12
- volume (A^3/atom) = 10.9
- E (hartree per atom) = -0.2646

Cell and atoms, written as POSCAR:
```
MgMn2O3
1.0
2.715 -4.698 0.000
2.715 4.698 0.000
-1.821 0.000 5.121
Mg Mn O
2 4 6
direct
0.167 0.833 0.000
0.833 0.167 0.000
0.000 0.000 0.500
0.333 0.667 0.500
0.500 0.500 0.000
0.667 0.333 0.500
0.077 0.420 0.762
0.238 0.238 0.242
0.420 0.077 0.762
0.580 0.923 0.238
0.762 0.762 0.758
0.923 0.580 0.238
```



(6)
Entry from the Alexandria database: a relaxed structure of MgMnO3 (PBE with a Hubbard U).

Properties
- N(E_F) (states/eV per cell) = 0.8
- total moment (Bohr magnetons per cell) = 3.1
- space-group type = Pm-3m, No. 221
- volume (A^3/atom) = 10.1
- E (hartree per atom) = -0.2291

Cell and atoms, written as POSCAR:
```
MgMnO3
1.0
3.694 0.000 0.000
0.000 3.694 0.000
0.000 0.000 3.694
Mg Mn O
1 1 3
direct
0.000 0.000 0.000
0.500 0.500 0.500
0.000 0.500 0.500
0.500 0.000 0.500
0.500 0.500 0.000
```



(7)
Entry from the Alexandria database: a relaxed structure of MgMn4O8 (PBE with a Hubbard U).

Properties
- energy above the most stable polymorph in this dataset (meV/atom) = 0
- total moment (Bohr magnetons per cell) = 14.0
- space-group type = P-1, No. 2
- volume (A^3/atom) = 11.7
- E (hartree per atom) = -0.2612

Cell and atoms, written as POSCAR:
```
MgMn4O8
1.0
5.279 0.000 0.000
1.812 5.532 0.000
0.042 2.901 5.219
Mg Mn O
1 4 8
direct
0.000 0.000 0.000
0.458 0.516 0.743
0.498 0.002 0.746
0.502 0.998 0.254
0.542 0.484 0.257
0.281 0.769 0.865
0.284 0.219 0.903
0.296 0.756 0.335
0.319 0.233 0.393
0.681 0.767 0.607
0.704 0.244 0.665
0.716 0.781 0.097
0.719 0.231 0.135
```



(8)
Entry from the Alexandria database: a relaxed structure of Mg6MnO8 (PBE with a Hubbard U).

Properties
- N(E_F) (states/eV per cell) = 0.0
- total moment (Bohr magnetons per cell) = 3.0
- space-group type = Fm-3m, No. 225
- volume (A^3/atom) = 10.1
- E (hartree per atom) = -0.2300

Cell and atoms, written as POSCAR:
```
Mg6MnO8
1.0
0.000 4.237 4.237
4.237 0.000 4.237
4.237 4.237 0.000
Mg Mn O
6 1 8
direct
0.000 0.000 0.500
0.000 0.500 0.000
0.000 0.500 0.500
0.500 0.000 0.000
0.500 0.000 0.500
0.500 0.500 0.000
0.000 0.000 0.000
0.229 0.229 0.771
0.229 0.771 0.229
0.229 0.771 0.771
0.250 0.250 0.250
0.750 0.750 0.750
0.771 0.229 0.229
0.771 0.229 0.771
0.771 0.771 0.229
```



(9)
Entry from the Alexandria database: a relaxed structure of Mg2Mn2O5 (PBE with a Hubbard U).

Properties
- energy above the most stable polymorph in this dataset (meV/atom) = 0
- N(E_F) (states/eV per cell) = 3.8
- total moment (Bohr magnetons per cell) = 16.0
- space-group type = Ima2, No. 46
- volume (A^3/atom) = 11.0
- E (hartree per atom) = -0.2471

Cell and atoms, written as POSCAR:
```
Mg2Mn2O5
1.0
-7.133 2.606 2.655
7.133 -2.606 2.655
7.133 2.606 -2.655
Mg Mn O
4 4 10
direct
0.001 0.121 0.122
0.001 0.379 0.380
0.999 0.621 0.620
0.999 0.879 0.878
0.443 0.443 0.000
0.443 0.943 0.500
0.503 0.770 0.233
0.538 0.270 0.767
0.006 0.656 0.850
0.250 0.009 0.492
0.250 0.257 0.740
0.467 0.153 0.222
0.467 0.745 0.814
0.517 0.509 0.260
0.517 0.757 0.508
0.806 0.156 0.150
0.931 0.245 0.778
0.931 0.653 0.186
```



(10)
Entry from the Alexandria database: a relaxed structure of MgMnO2 (PBE with a Hubbard U).

Properties
- total moment (Bohr magnetons per cell) = 20.0
- space-group type = P2_1/m, No. 11
- volume (A^3/atom) = 10.6
- E (hartree per atom) = -0.2532

Cell and atoms, written as POSCAR:
```
MgMnO2
1.0
7.595 0.000 0.000
0.000 3.100 0.000
-2.534 0.000 7.187
Mg Mn O
4 4 8
direct
0.062 0.250 0.183
0.311 0.250 0.939
0.689 0.750 0.061
0.938 0.750 0.817
0.185 0.750 0.565
0.437 0.750 0.307
0.563 0.250 0.693
0.815 0.250 0.435
0.063 0.250 0.701
0.182 0.750 0.057
0.305 0.250 0.431
0.437 0.750 0.825
0.563 0.250 0.175
0.695 0.750 0.569
0.818 0.250 0.943
0.937 0.750 0.299
```



(11)
Entry from the Alexandria database: a relaxed structure of MgMn2O4 (PBE with a Hubbard U).

Properties
- energy above the most stable polymorph in this dataset (meV/atom) = 176
- total moment (Bohr magnetons per cell) = 28.0
- space-group type = P2_1/m, No. 11
- volume (A^3/atom) = 11.2
- E (hartree per atom) = -0.2554

Cell and atoms, written as POSCAR:
```
MgMn2O4
1.0
5.089 0.000 0.000
0.000 10.320 0.000
-0.401 0.000 5.985
Mg Mn O
4 8 16
direct
0.007 0.250 0.209
0.358 0.250 0.743
0.642 0.750 0.257
0.993 0.750 0.791
0.011 0.517 0.250
0.011 0.983 0.250
0.500 0.000 0.000
0.500 0.000 0.500
0.500 0.500 0.000
0.500 0.500 0.500
0.989 0.017 0.750
0.989 0.483 0.750
0.183 0.112 0.468
0.183 0.121 0.972
0.183 0.379 0.972
0.183 0.388 0.468
0.284 0.600 0.777
0.284 0.900 0.777
0.357 0.603 0.251
0.357 0.897 0.251
0.643 0.103 0.749
0.643 0.397 0.749
0.716 0.100 0.223
0.716 0.400 0.223
0.817 0.612 0.532
0.817 0.621 0.028
0.817 0.879 0.028
0.817 0.888 0.532
```



(12)
Entry from the Alexandria database: a relaxed structure of Mg3Mn5O12 (PBE with a Hubbard U).

Properties
- N(E_F) (states/eV per cell) = 21.7
- total moment (Bohr magnetons per cell) = 68.0
- space-group type = Ia-3d, No. 230
- volume (A^3/atom) = 11.3
- E (hartree per atom) = -0.2472

Cell and atoms, written as POSCAR:
```
Mg3Mn5O12
1.0
-6.096 6.096 6.096
6.096 -6.096 6.096
6.096 6.096 -6.096
Mg Mn O
12 20 48
direct
0.125 0.250 0.375
0.125 0.375 0.750
0.250 0.375 0.125
0.250 0.875 0.625
0.375 0.125 0.250
0.375 0.750 0.125
0.625 0.250 0.875
0.625 0.875 0.750
0.750 0.125 0.375
0.750 0.625 0.875
0.875 0.625 0.250
0.875 0.750 0.625
0.000 0.000 0.000
0.000 0.000 0.500
0.000 0.500 0.000
0.000 0.500 0.500
0.125 0.750 0.875
0.125 0.875 0.250
0.250 0.125 0.875
0.250 0.625 0.375
0.375 0.250 0.625
0.375 0.625 0.750
0.500 0.000 0.000
0.500 0.000 0.500
0.500 0.500 0.000
0.500 0.500 0.500
0.625 0.375 0.250
0.625 0.750 0.375
0.750 0.375 0.625
0.750 0.875 0.125
0.875 0.125 0.750
0.875 0.250 0.125
0.029 0.200 0.136
0.029 0.328 0.892
0.064 0.700 0.672
0.064 0.864 0.392
0.108 0.636 0.436
0.108 0.971 0.672
0.136 0.029 0.200
0.136 0.608 0.936
0.172 0.200 0.564
0.172 0.471 0.608
0.200 0.136 0.029
0.200 0.564 0.172
0.300 0.328 0.936
0.300 0.471 0.364
0.328 0.892 0.029
0.328 0.936 0.300
0.364 0.300 0.471
0.364 0.564 0.892
0.392 0.064 0.864
0.392 0.828 0.529
0.436 0.108 0.636
0.436 0.828 0.800
0.471 0.364 0.300
0.471 0.608 0.172
0.529 0.392 0.828
0.529 0.636 0.700
0.564 0.172 0.200
0.564 0.892 0.364
0.608 0.172 0.471
0.608 0.936 0.136
0.636 0.436 0.108
0.636 0.700 0.529
0.672 0.064 0.700
0.672 0.108 0.971
0.700 0.529 0.636
0.700 0.672 0.064
0.800 0.436 0.828
0.800 0.864 0.971
0.828 0.529 0.392
0.828 0.800 0.436
0.864 0.392 0.064
0.864 0.971 0.800
0.892 0.029 0.328
0.892 0.364 0.564
0.936 0.136 0.608
0.936 0.300 0.328
0.971 0.672 0.108
0.971 0.800 0.864
```



Among the records above, which one has the lowest volume? Mg8Mn3O11